# 1
Crystalline YF4 at its relaxed geometry, computed with PBE.

E above lowest polymorph = 0.321 eV per atom
Raw total energy = -5.540 eV/atom
Mass density = 3.28 g/cm3
Size of the total moment = 0.204 μB/atom
Raw formation energy = -2.750 eV/atom

Lattice parameters (Å, degrees): 4.3726 4.3726 4.3726 90.00 90.00 90.00
Space group P-43m (No. 215)
Unique sites:
Y1 0.0000 0.0000 0.0000
F1 0.2756 0.2756 0.2756

=====

# 2
Crystalline Pu2HfV at its relaxed geometry, computed with PBE.

Raw total energy = -11.404 eV/atom
Calculated formation energy = 2.118 eV/f.u.
Mass density = 13.83 g/cm3
Size of the total moment = 2.462 μB/atom

Lattice parameters (Å, degrees): 3.0545 3.0545 31.9755 90.00 90.00 120.00
Space group R-3m (No. 166, hexagonal axes)
Unique sites:
Pu1 0.0000 0.0000 0.0938
Hf1 0.0000 0.0000 0.0000
V1 0.0000 0.0000 0.5000

=====

> Among the records above, which one has the highest raw total energy?

YF4